1.
Density functional theory data (PBE) for an optimized crystal structure of ZrCrTc2Ru.

Output
As for the formation energy: 5.15 eV/f.u. As for the space group: P4/mmm, No. 123. The final energy comes out at -8.606 eV/atom.

Cell: 4.347 4.704 4.347 Å, 90.00 90.00 90.00°
Element x y z (fractional)
Ru: 0.500 0.500 0.500
Tc: 0.500 0.000 0.000
Tc: 0.000 0.000 0.500
Cr: 0.000 0.000 0.000
Zr: 0.000 0.500 0.000

2.
Density functional theory data (PBE) for an optimized crystal structure of NaSr2LaRh.

Output
As for the formation energy: -1.12 eV/f.u. As for the space group: P4/mmm, No. 123. The final energy comes out at -3.617 eV/atom.

Cell: 6.120 6.120 5.399 Å, 90.00 90.00 90.00°
Element x y z (fractional)
La: 0.000 0.000 0.500
Sr: 0.000 0.500 0.000
Na: 0.500 0.500 0.500
Sr: 0.500 0.000 0.000
Rh: 0.000 0.000 0.000

3.
Density functional theory data (PBE) for an optimized crystal structure of Ce2BrN2.

Output
As for the space group: P4/mmm, No. 123. The final energy comes out at -6.965 eV/atom. The energy above the lowest structure with this stoichiometry comes out at 0.707 eV/atom. For the raw formation energy, the calculation gives -21.37 kcal/mol of atoms.

Cell: 3.849 3.849 6.775 Å, 90.00 90.00 90.00°
Each line ends with the local moment (μB).
Element x y z (fractional)
Ce: 0.500 0.500 0.702  0.54
Ce: 0.500 0.500 0.298  0.54
N: 0.000 0.500 0.500  -0.06
N: 0.500 0.000 0.500  -0.06
Br: 0.000 0.000 0.000  0.00

4.
Density functional theory data (PBE) for an optimized crystal structure of SiB2O.

Output
As for the space group: I-42d, No. 122. The final energy comes out at -6.000 eV/atom. The energy above the lowest structure with this stoichiometry comes out at 0.000 eV/atom. For the raw formation energy, the calculation gives -1.52 kcal/mol of atoms.

Cell: 4.263 4.263 5.208 Å, 65.84 65.84 90.00°
Element x y z (fractional)
B: 0.181 0.625 0.250
Si: 0.750 0.250 0.500
O: 0.500 0.500 0.000
B: 0.569 0.125 0.250
B: 0.875 0.819 0.750
B: 0.375 0.431 0.750
O: 0.250 0.750 0.500
Si: 0.000 0.000 0.000